# 1
! AlAu2Se, single point on PBEsol structure, DFT SCAN; values from VASP
&SYSTEM
  ibrav = 0, nat = 4, ntyp = 3
/
ATOMIC_SPECIES
Au 196.97 Au.upf
Se 78.96 Se.upf
Al 26.98 Al.upf
ATOMIC_POSITIONS angstrom
Au 1.8726 2.3675 0.4063
Au 1.7519 0.5162 2.4374
Se -0.8364 1.9613 1.7381
Al 0.0000 0.0000 0.0000
CELL_PARAMETERS angstrom
-0.7157 3.8126 -0.2930
-0.9570 0.1100 3.7691
5.2972 -1.0389 -0.6324
! SG: No. 139
! Crystal system: tetragonal
! Density of states at the Fermi level (states/eV/f.u.): 1.2
! VASP energy (eV per atom): -41.453

# 2
! LiLa2Tl2, single point on PBEsol structure, DFT SCAN; values from VASP
&SYSTEM
  ibrav = 0, nat = 10, ntyp = 3
/
ATOMIC_SPECIES
Tl 204.38 Tl.upf
Li 6.94 Li.upf
La 138.91 La.upf
ATOMIC_POSITIONS angstrom
Tl 1.5994 -2.1535 1.1163
Tl 1.6257 -7.9644 1.1025
Tl -0.7616 -5.0658 -0.5655
Tl 3.9868 -5.0522 2.7843
Li 0.0000 0.0000 0.0000
Li 1.6126 -5.0590 1.1094
La -1.4536 -2.9448 1.9457
La 1.9367 -3.0467 4.3369
La -1.5260 -7.0935 1.8716
La 1.8644 -7.1954 4.2627
CELL_PARAMETERS angstrom
-2.8144 -0.0222 3.9896
-2.5162 -7.0162 -1.8141
5.7414 -3.1018 4.0329
! SG: No. 127
! Crystal system: tetragonal
! Density of states at the Fermi level (states/eV/f.u.): 2.6
! VASP energy (eV per atom): -47.189